1.
AlSnCl after structural relaxation, computed with PBE-GGA.

The structure in POSCAR format:
```
AlSnCl
1.0
-2.902 -0.518 1.795
-1.640 -6.027 -1.584
2.313 -4.859 5.526
Al Cl Sn
2 2 2
Direct
0.399 0.969 0.241
0.601 0.031 0.759
0.388 0.258 0.973
0.612 0.742 0.027
0.136 0.266 0.475
0.864 0.734 0.525
```

Results
Formation energy from raw total energies (eV/atom): -0.43
SG: P-1, No. 2

2.
Re2SiBr after structural relaxation, computed with PBE-GGA.

The structure in POSCAR format:
```
Re2SiBr
1.0
-0.475 -1.977 -5.258
-0.509 -5.422 -1.454
-1.927 4.429 2.906
Br Re Si
1 2 1
Direct
0.270 0.770 0.500
0.726 0.226 0.500
0.975 0.975 0.000
0.529 0.529 0.000
```

Results
Formation energy from raw total energies (eV/atom): 0.86
SG: Imm2, No. 44
Energy above the most stable polymorph in this dataset (eV per atom): 0.5687

3.
CsMg2MnBr8 after structural relaxation, computed with PBE-GGA.

The structure in POSCAR format:
```
CsMg2MnBr8
1.0
-6.691 0.750 -0.226
-2.205 0.466 6.480
-1.271 9.415 2.060
Cs Br Mg Mn
1 8 2 1
Direct
0.000 0.000 0.500
0.760 0.777 0.028
0.325 0.345 0.528
0.240 0.223 0.972
0.826 0.268 0.794
0.174 0.732 0.206
0.296 0.785 0.799
0.704 0.215 0.201
0.675 0.655 0.472
0.557 0.557 0.277
0.443 0.443 0.723
0.000 0.000 0.000
```

Results
Formation energy from raw total energies (eV/atom): -1.17
SG: P-1, No. 2

4.
Cs2LiTa after structural relaxation, computed with PBE-GGA.

The structure in POSCAR format:
```
Cs2LiTa
1.0
6.446 0.000 0.000
3.223 5.582 0.000
3.223 1.861 5.263
Cs Li Ta
2 1 1
Direct
0.250 0.250 0.250
0.750 0.750 0.750
0.000 0.000 0.000
0.500 0.500 0.500
```

Results
E_form (eV per atom): 1.5379
SG: Fm-3m, No. 225

5.
LaZn12Rh6 after structural relaxation, computed with PBE-GGA.

The structure in POSCAR format:
```
LaZn12Rh6
1.0
-2.229 -0.767 -6.687
-4.960 -3.318 3.829
-1.110 6.866 1.377
Rh Zn La
6 12 1
Direct
0.300 0.733 0.733
0.700 0.267 0.267
0.267 0.700 0.267
0.267 0.267 0.700
0.733 0.300 0.733
0.733 0.733 0.300
0.888 0.112 0.500
0.888 0.500 0.112
0.409 0.409 0.143
0.112 0.888 0.500
0.112 0.500 0.888
0.857 0.591 0.591
0.591 0.857 0.591
0.143 0.409 0.409
0.409 0.143 0.409
0.500 0.112 0.888
0.591 0.591 0.857
0.500 0.888 0.112
0.000 0.000 0.000
```

Results
E_form (eV per atom): -0.2225
SG: R-3m, No. 166

6.
BaInCu after structural relaxation, computed with PBE-GGA.

The structure in POSCAR format:
```
BaInCu
1.0
5.140 0.000 0.000
2.570 4.451 0.000
2.570 1.484 4.197
In Ba Cu
1 1 1
Direct
0.000 0.000 0.000
0.500 0.500 0.500
0.750 0.750 0.750
```

Results
E_form (eV per atom): -0.0083
SG: F-43m, No. 216

7.
LiCaCd4 after structural relaxation, computed with PBE-GGA.

The structure in POSCAR format:
```
LiCaCd4
1.0
4.982 -0.002 0.001
0.002 6.214 2.316
-0.001 0.220 9.348
Li Cd Ca
2 8 2
Direct
0.750 0.129 0.236
0.250 0.871 0.764
0.250 0.963 0.082
0.250 0.814 0.412
0.250 0.266 0.418
0.250 0.448 0.085
0.750 0.552 0.915
0.750 0.734 0.582
0.750 0.186 0.588
0.750 0.037 0.918
0.750 0.616 0.262
0.250 0.384 0.738
```

Results
E_form (eV per atom): -0.2462
SG: P2_1/m, No. 11
Energy above the most stable polymorph in this dataset (eV per atom): 0.0000

8.
EuLuRh4 after structural relaxation, computed with PBE-GGA.

The structure in POSCAR format:
```
EuLuRh4
1.0
-4.697 -2.544 -0.225
-0.955 -3.509 -3.919
-0.265 -5.226 1.097
Rh Eu Lu
4 1 1
Direct
0.124 0.625 0.625
0.625 0.625 0.625
0.625 0.124 0.625
0.625 0.625 0.124
0.250 0.250 0.250
0.000 0.000 0.000
```

Results
E_form (eV per atom): -0.5983
SG: F-43m, No. 216

9.
DyZnCu3 after structural relaxation, computed with PBE-GGA.

The structure in POSCAR format:
```
DyZnCu3
1.0
4.396 0.000 -2.430
-2.519 7.635 -4.557
0.466 -1.838 6.034
Cu Zn Dy
6 2 2
Direct
0.308 0.308 0.116
0.192 0.692 0.884
0.692 0.692 0.884
0.808 0.308 0.116
0.250 0.939 0.500
0.750 0.061 0.500
0.500 0.000 0.000
0.000 0.500 0.000
0.750 0.756 0.500
0.250 0.244 0.500
```

Results
E_form (eV per atom): -0.1403
SG: Imma, No. 74
Energy above the most stable polymorph in this dataset (eV per atom): 0.0212

10.
CsCaPS2 after structural relaxation, computed with PBE-GGA.

The structure in POSCAR format:
```
CsCaPS2
1.0
5.470 0.000 0.000
0.000 5.470 0.000
0.000 0.000 5.730
Ca Cs P S
1 1 1 2
Direct
0.000 0.000 0.000
0.500 0.500 0.500
0.000 0.000 0.500
0.500 0.000 0.000
0.000 0.500 0.000
```

Results
Formation energy from raw total energies (eV/atom): -0.24
SG: P4/mmm, No. 123
Energy above the most stable polymorph in this dataset (eV per atom): 0.0000

11.
SrLaIO2 after structural relaxation, computed with PBE-GGA.

The structure in POSCAR format:
```
SrLaIO2
1.0
-4.243 0.191 1.967
-1.826 -2.161 -3.729
1.004 -5.513 2.703
O La I Sr
2 1 1 1
Direct
0.500 0.000 0.000
0.000 0.500 0.000
0.000 0.000 0.000
0.000 0.000 0.500
0.500 0.500 0.500
```

Results
Formation energy from raw total energies (eV/atom): -1.96
SG: P4/mmm, No. 123
Energy above the most stable polymorph in this dataset (eV per atom): 0.8726

| no. | M_tot (μB per formula unit) |
| --- | --- |
| 1 | 0.00 |
| 2 | 0.00 |
| 3 | 4.00 |
| 4 | 4.15 |
| 5 | 0.00 |
| 6 | 0.01 |
| 7 | 0.00 |
| 8 | 6.88 |
| 9 | 0.00 |
| 10 | 3.50 |
| 11 | 0.00 |